{
  "formula": "MgAgO2",
  "functional": "PBE-GGA",
  "state": "optimized geometry",
  "lattice": [[1.999, 0.000, 5.817], [-0.999, 1.731, 5.817], [-0.999, -1.731, 5.817]],
  "species": ["Mg", "Ag", "O", "O"],
  "frac_coords": [[0.000, 0.000, 0.000], [0.500, 0.500, 0.500], [0.107, 0.107, 0.107], [0.893, 0.893, 0.893]],
  "e_form_raw_ev_per_atom": -0.55,
  "magnetic_moment_mub_per_fu": 0.0
}